Entry from Alexandria via LeMat-Bulk: an optimized crystal structure of CeTh2Hg (GGA-PBE).

```
CeTh2Hg
1.0
-3.3357 -0.1230 1.2998
1.3005 0.0001 3.3376
-0.2975 9.2854 0.1155
Th Hg Ce
2 1 1
Direct
0.0000 0.0000 0.7626
0.0000 0.0000 0.2374
0.5000 0.5000 0.0000
0.5000 0.5000 0.5000
```

Computed properties:
DFT formation energy: -25 meV per atom
energy above the lowest structure with this stoichiometry: 59 meV per atom
mass density: 11.21 g/cm3

***

Entry from Alexandria via LeMat-Bulk: an optimized crystal structure of CeThHg (GGA-PBE).

```
CeThHg
1.0
-1.6220 3.1205 -0.6219
-4.6023 -2.3840 0.0386
-0.4986 1.1086 8.8005
Hg Th Ce
2 2 2
Direct
0.9959 0.7500 0.3963
0.0041 0.2500 0.6037
0.5211 0.7501 0.7201
0.4789 0.2499 0.2799
0.8487 0.7504 0.0311
0.1513 0.2496 0.9689
```

Computed properties:
DFT formation energy: -110 meV per atom
energy above the lowest structure with this stoichiometry: 19 meV per atom
mass density: 11.57 g/cm3

***

Entry from Alexandria via LeMat-Bulk: an optimized crystal structure of Ce8ThHg2 (GGA-PBE).

```
Ce8ThHg2
1.0
-2.4561 4.9509 1.5802
-9.3872 -0.9204 -0.3172
-7.3730 -1.8116 5.6057
Ce Hg Th
8 2 1
Direct
0.6712 0.8993 0.4370
0.8127 0.4747 0.4747
0.6432 0.8779 0.8779
0.6712 0.4370 0.8993
0.3288 0.1007 0.5630
0.3288 0.5630 0.1007
0.3568 0.1221 0.1221
0.1873 0.5253 0.5253
0.8736 0.2915 0.2915
0.1264 0.7085 0.7085
0.0000 0.0000 0.0000
```

Computed properties:
DFT formation energy: -35 meV per atom
mass density: 9.63 g/cm3

***

Entry from Alexandria via LeMat-Bulk: an optimized crystal structure of Ce2ThHg (GGA-PBE).

```
Ce2ThHg
1.0
-2.3371 -2.5318 0.4239
-0.1944 -1.6943 3.0238
-8.1880 5.9852 4.8199
Hg Ce Th
1 2 1
Direct
0.6666 0.6666 0.0002
0.2536 0.2536 0.2393
0.0798 0.0798 0.7607
0.5001 0.5001 0.4998
```

Computed properties:
DFT formation energy: -26 meV per atom
energy above the lowest structure with this stoichiometry: 114 meV per atom
mass density: 10.26 g/cm3